! RbCa2Re, relaxed, DFT PBE; values from VASP
&SYSTEM
  ibrav = 0, nat = 4, ntyp = 3
/
ATOMIC_SPECIES
Rb 85.47 Rb.upf
Ca 40.08 Ca.upf
Re 186.21 Re.upf
CELL_PARAMETERS angstrom
0.000 3.915 3.915
3.915 0.000 3.915
3.915 3.915 0.000
ATOMIC_POSITIONS crystal
Rb 0.000 0.000 0.000
Ca 0.250 0.250 0.250
Ca 0.750 0.750 0.750
Re 0.500 0.500 0.500
! Energy of formation ... 1.119 eV per atom
! Total DFT energy (no corrections) ... -3.235 eV per atom
! Excess energy over the best structure of this formula in the dataset ... 0.0 meV per atom



! RbCaRe2, relaxed, DFT PBE; values from VASP
&SYSTEM
  ibrav = 0, nat = 4, ntyp = 3
/
ATOMIC_SPECIES
Rb 85.47 Rb.upf
Ca 40.08 Ca.upf
Re 186.21 Re.upf
CELL_PARAMETERS angstrom
0.000 3.675 3.675
3.675 0.000 3.675
3.675 3.675 0.000
ATOMIC_POSITIONS crystal
Rb 0.000 0.000 0.000
Ca 0.500 0.500 0.500
Re 0.250 0.250 0.250
Re 0.750 0.750 0.750
! Energy of formation ... 2.386 eV per atom
! Total DFT energy (no corrections) ... -4.581 eV per atom
! Excess energy over the best structure of this formula in the dataset ... 300.6 meV per atom



! RbCa2Re2, relaxed, DFT PBE; values from VASP
&SYSTEM
  ibrav = 0, nat = 10, ntyp = 3
/
ATOMIC_SPECIES
Rb 85.47 Rb.upf
Ca 40.08 Ca.upf
Re 186.21 Re.upf
CELL_PARAMETERS angstrom
9.347 0.000 0.000
0.000 9.347 0.000
0.000 0.000 3.022
ATOMIC_POSITIONS crystal
Rb 0.000 0.000 0.000
Rb 0.500 0.500 0.000
Ca 0.187 0.313 0.500
Ca 0.313 0.813 0.500
Ca 0.687 0.187 0.500
Ca 0.813 0.687 0.500
Re 0.088 0.588 0.000
Re 0.412 0.088 0.000
Re 0.588 0.912 0.000
Re 0.912 0.412 0.000
! Energy of formation ... 0.880 eV per atom
! Total DFT energy (no corrections) ... -5.094 eV per atom
! Excess energy over the best structure of this formula in the dataset ... 0.0 meV per atom



Among the records above, which one has the lowest total DFT energy (no corrections)?
RbCa2Re2